Entry 1:
# BeCoAg2

Crystalline BeCoAg2 at its relaxed geometry (PBE, Alexandria via LeMat-Bulk).

Values from the calculation:
symmetry = C2/m, No. 12
ρ = 8.44 Mg/m³
energy relative to the elements = 0.380 eV/atom
total DFT energy (no corrections) = -3.7541 eV per atom
magnetization = 1.223 μB/cell

Geometry as POSCAR:
```
BeCoAg2
1.0
-0.442 4.801 -1.990
-1.532 4.948 0.610
3.169 2.790 1.171
Ag Be Co
2 1 1
direct
0.461 0.461 0.539
0.039 0.039 0.961
0.750 0.750 0.750
0.250 0.250 0.250
```

---

Entry 2:
# TbPaSe

Crystalline TbPaSe at its relaxed geometry (PBE, Alexandria via LeMat-Bulk).

Values from the calculation:
symmetry = Pmmn, No. 59
ρ = 11.06 Mg/m³
formation energy from raw total energies = -2.64 eV per formula unit
total DFT energy (no corrections) = -6.7507 eV per atom
magnetization = 0.003 μB/cell

Geometry as POSCAR:
```
TbPaSe
1.0
4.088 0.000 0.000
0.000 4.074 0.000
0.000 0.000 16.903
Tb Se Pa
4 4 4
direct
0.249 0.750 0.678
0.749 0.250 0.822
0.751 0.250 0.322
0.251 0.750 0.178
0.251 0.750 0.355
0.751 0.250 0.145
0.749 0.250 0.645
0.249 0.750 0.855
0.250 0.250 0.502
0.750 0.750 0.498
0.750 0.750 0.998
0.250 0.250 0.002
```